Material: CsMgIO2
Method: DFT, PBE-GGA
State: optimized geometry

**DFT total energy**: -3.40 eV/atom
**Total moment**: 0.7 μB/cell
**Symmetry**: P4/mmm

abc: 4.7432 4.7432 5.6677
angles: 90.00 90.00 90.00
Last column: magnetic moment on the atom in μB.
Fractional coordinates of all 5 atoms:
Cs1 0.5000 0.5000 0.5000  0.01
I1 0.0000 0.0000 0.5000  0.11
Mg1 0.0000 0.0000 0.0000  0.00
O1 0.0000 0.5000 0.0000  0.20
O2 0.5000 0.0000 0.0000  0.20